Entry 1:
Below is a relaxed PmSc2Se crystal, with properties calculated at the GGA-PBE level.

Unit cell a=3.5628 b=3.5628 c=29.4219 alpha=90.00 beta=90.00 gamma=120.00
Closest atoms and distances in Å follow each position.
Space group R-3m (No. 166, hexagonal axes)
Asymmetric unit:
Pm 0.0000 0.0000 0.0000 [3 per cell]  2 Sc 3.25, 6 Pm 3.56
Sc 0.0000 0.0000 0.1103 [6 per cell]  3 Se 2.64
Se 0.0000 0.0000 0.5000 [3 per cell]  6 Sc 2.64

Summary:
Total magnetization ... 0.000 μB/cell
Uncorrected energy ... -5.738 eV per atom

Entry 2:
Below is a relaxed SbCl crystal, with properties calculated at the GGA-PBE level.

Unit cell a=12.8793 b=12.8793 c=3.2855 alpha=90.00 beta=90.00 gamma=90.00
Closest atoms and distances in Å follow each position.
Space group P4/m (No. 83)
Asymmetric unit:
Sb 0.0409 0.1523 0.0000 [4 per cell]  2 Sb 2.87
Sb 0.2972 0.5705 0.5000 [4 per cell]  3 Cl 2.46-2.72
Cl 0.1477 0.6488 0.0000 [4 per cell]  2 Sb 2.72
Cl 0.2185 0.3961 0.5000 [4 per cell]  1 Sb 2.46

Summary:
Energy above the most stable polymorph in this dataset ... 170 meV per atom
Total magnetization ... 0.000 μB/cell

Entry 3:
Below is a relaxed CsMg3In crystal, with properties calculated at the GGA-PBE level.

Unit cell a=5.7903 b=5.7903 c=5.7903 alpha=90.00 beta=90.00 gamma=90.00
Closest atoms and distances in Å follow each position.
Space group Pm-3m (No. 221)
Asymmetric unit:
Cs 0.0000 0.0000 0.0000 [1 per cell]  12 Mg 4.09
Mg 0.0000 0.5000 0.5000 [3 per cell]  2 In 2.90
In 0.5000 0.5000 0.5000 [1 per cell]  6 Mg 2.90

Summary:
ΔH_f (0 K) ... 137 kJ/mol of formula units
Energy above the most stable polymorph in this dataset ... 0 meV per atom
Total magnetization ... 0.000 μB/cell

Entry 4:
Below is a relaxed SrLaCd2 crystal, with properties calculated at the GGA-PBE level.

Unit cell a=8.7311 b=8.7311 c=7.6874 alpha=90.00 beta=90.00 gamma=90.00
Closest atoms and distances in Å follow each position.
Space group I-42d (No. 122)
Asymmetric unit:
Sr 0.0000 0.0000 0.0000 [4 per cell]  4 Cd 3.29
La 0.0000 0.0000 0.5000 [4 per cell]  4 Cd 3.17
Cd 0.2396 0.7500 0.6250 [8 per cell]  2 La 3.17, 2 Sr 3.29

Summary:
ΔH_f (0 K) ... 16 kJ/mol of formula units
Total magnetization ... 0.000 μB/cell